The following is a GGA+U calculation of a geometry-optimized BiWO4F structure, from the Alexandria database.

The structure in extended XYZ format:
```
14
Lattice="6.221 -0.232 0.118 1.841 5.946 0.118 1.752 1.242 7.031" Properties=species:S:1:pos:R:3 pbc="T T T"
O 2.943 2.086 3.867
O 6.872 4.870 3.399
O 1.909 3.128 1.241
O 4.765 3.377 1.919
O 5.050 3.579 5.348
O 3.584 0.765 1.241
O 6.231 6.191 6.025
O 7.905 3.828 6.025
W 6.501 4.608 5.160
W 3.313 2.348 2.107
F 0.422 0.299 1.193
F 9.392 6.657 6.074
Bi 3.131 2.219 6.123
Bi 6.683 4.737 1.144
```

## Properties
DOS at the Fermi energy = 0.000 states/eV per atom
E_tot = -6.56 eV/atom